Record 1
VASP calculation (PBE-GGA) on InReP2 after structural relaxation.

a b c (Å): 5.6510 5.6510 6.9697
angles (deg): 66.08 66.08 90.00
Positions (direct):
Re1 0.0000 0.0000 0.0000
Re2 0.7500 0.2500 0.5000
P1 0.6832 0.1250 0.2500
P2 0.0668 0.6250 0.2500
P3 0.3750 0.3168 0.7500
P4 0.8750 0.9332 0.7500
In1 0.5000 0.5000 0.0000
In2 0.2500 0.7500 0.5000

## Properties
calculated formation energy	0.6	eV per formula unit

Record 2
VASP calculation (PBE-GGA) on In2ReP after structural relaxation.

a b c (Å): 3.9990 3.7938 5.3814
angles (deg): 69.33 90.00 90.00
Positions (direct):
In1 0.0000 0.9646 0.9450
In2 0.5000 0.2813 0.3128
P1 0.0000 0.6912 0.4934
Re1 0.5000 0.5629 0.7487

## Properties
calculated formation energy	0.7	eV per formula unit

Record 3
VASP calculation (PBE-GGA) on In2ReP after structural relaxation.

a b c (Å): 5.5644 5.5644 4.9386
angles (deg): 74.03 74.03 32.06
Positions (direct):
In1 0.9646 0.9646 0.0747
In2 0.7620 0.7620 0.7132
P1 0.5583 0.5583 0.4850
Re1 0.2151 0.2151 0.2270

## Properties
calculated formation energy	0.9	eV per formula unit

Record 4
VASP calculation (PBE-GGA) on InRe2P after structural relaxation.

a b c (Å): 2.9843 2.9843 7.4041
angles (deg): 90.00 90.00 90.00
Positions (direct):
In1 0.0000 0.0000 0.4903
P1 0.5000 0.5000 0.8062
Re1 0.0000 0.0000 0.9867
Re2 0.5000 0.5000 0.2169

## Properties
calculated formation energy	0.6	eV per formula unit
E above lowest polymorph	0	meV per atom

Record 5
VASP calculation (PBE-GGA) on InReP2 after structural relaxation.

a b c (Å): 7.7928 7.7928 7.7928
angles (deg): 23.42 23.42 23.42
Positions (direct):
In1 0.7488 0.7488 0.7488
P1 0.9861 0.9861 0.9861
P2 0.2505 0.2505 0.2505
Re1 0.5146 0.5146 0.5146

## Properties
calculated formation energy	1.3	eV per formula unit

Record 6
VASP calculation (PBE-GGA) on In2ReP after structural relaxation.

a b c (Å): 3.0216 3.0216 10.0510
angles (deg): 90.00 90.00 114.29
Positions (direct):
In1 0.0000 0.0000 0.9605
In2 0.5000 0.5000 0.2628
P1 0.0000 0.0000 0.5581
Re1 0.5000 0.5000 0.7185

## Properties
calculated formation energy	1.4	eV per formula unit

Record 7
VASP calculation (PBE-GGA) on InReP2 after structural relaxation.

a b c (Å): 6.0956 6.0956 6.0956
angles (deg): 151.19 133.90 55.27
Positions (direct):
In1 0.7500 0.2500 0.5000
P1 0.0756 0.0756 0.0000
P2 0.4244 0.4244 0.0000
Re1 0.2500 0.7500 0.5000

## Properties
calculated formation energy	1.4	eV per formula unit

Record 8
VASP calculation (PBE-GGA) on InRe2P after structural relaxation.

a b c (Å): 4.4258 4.4258 4.4258
angles (deg): 60.00 60.00 60.00
Positions (direct):
Re1 0.2500 0.2500 0.2500
Re2 0.7500 0.7500 0.7500
P1 0.0000 0.0000 0.0000
In1 0.5000 0.5000 0.5000

## Properties
calculated formation energy	2.6	eV per formula unit
E above lowest polymorph	509	meV per atom

Record 9
VASP calculation (PBE-GGA) on InRe2P after structural relaxation.

a b c (Å): 3.7224 3.0105 5.9510
angles (deg): 73.75 90.00 90.00
Positions (direct):
In1 0.5000 0.2500 0.2500
P1 0.5000 0.7500 0.7500
Re1 0.0000 0.8903 0.9580
Re2 0.0000 0.6097 0.5420

## Properties
calculated formation energy	1.4	eV per formula unit
E above lowest polymorph	207	meV per atom

Record 10
VASP calculation (PBE-GGA) on InRe2P after structural relaxation.

a b c (Å): 5.2403 5.2403 5.2403
angles (deg): 147.33 123.76 66.58
Positions (direct):
In1 0.7500 0.2500 0.5000
P1 0.2500 0.7500 0.5000
Re1 0.0374 0.0374 0.0000
Re2 0.4626 0.4626 0.0000

## Properties
calculated formation energy	1.5	eV per formula unit
E above lowest polymorph	233	meV per atom

Record 11
VASP calculation (PBE-GGA) on InRe2P after structural relaxation.

a b c (Å): 2.8041 2.8041 10.1529
angles (deg): 90.00 90.00 116.10
Positions (direct):
In1 0.0000 0.0000 0.4764
P1 0.5000 0.5000 0.8090
Re1 0.0000 0.0000 0.9984
Re2 0.5000 0.5000 0.2162

## Properties
calculated formation energy	2.0	eV per formula unit
E above lowest polymorph	347	meV per atom

Record 12
VASP calculation (PBE-GGA) on InRe2P after structural relaxation.

a b c (Å): 4.4129 4.4129 3.1567
angles (deg): 90.00 90.00 89.99
Positions (direct):
In1 0.5000 0.0000 0.5000
P1 0.0000 0.5000 0.5000
Re1 0.0000 0.0000 0.0000
Re2 0.5000 0.5000 0.0000

## Properties
calculated formation energy	2.6	eV per formula unit
E above lowest polymorph	515	meV per atom

Record 13
VASP calculation (PBE-GGA) on In2ReP after structural relaxation.

a b c (Å): 3.0750 3.0750 8.3406
angles (deg): 90.00 90.00 90.00
Positions (direct):
In1 0.0000 0.0000 0.9485
In2 0.5000 0.5000 0.2863
P1 0.0000 0.0000 0.5664
Re1 0.5000 0.5000 0.6988

## Properties
calculated formation energy	0.3	eV per formula unit

Record 14
VASP calculation (PBE-GGA) on In2ReP after structural relaxation.

a b c (Å): 3.0125 3.0125 8.3132
angles (deg): 90.00 90.00 90.00
Positions (direct):
In1 0.0000 0.0000 0.9869
In2 0.0000 0.0000 0.5131
P1 0.5000 0.5000 0.2500
Re1 0.5000 0.5000 0.7500

## Properties
calculated formation energy	2.9	eV per formula unit

Record 15
VASP calculation (PBE-GGA) on In2ReP after structural relaxation.

a b c (Å): 4.7029 4.7029 4.7029
angles (deg): 60.00 60.00 60.00
Positions (direct):
In1 0.0000 0.0000 0.0000
In2 0.7500 0.7500 0.7500
Re1 0.2500 0.2500 0.2500
P1 0.5000 0.5000 0.5000

## Properties
calculated formation energy	3.4	eV per formula unit

Record 16
VASP calculation (PBE-GGA) on InRe3P after structural relaxation.

a b c (Å): 4.4258 4.4258 4.4258
angles (deg): 90.00 90.00 90.00
Positions (direct):
Re1 0.0000 0.5000 0.0000
Re2 0.0000 0.0000 0.5000
Re3 0.5000 0.0000 0.0000
P1 0.0000 0.0000 0.0000
In1 0.5000 0.5000 0.5000

## Properties
calculated formation energy	4.1	eV per formula unit
E above lowest polymorph	0	meV per atom

Record 17
VASP calculation (PBE-GGA) on In2ReP after structural relaxation.

a b c (Å): 3.5460 3.5460 5.7701
angles (deg): 90.00 90.00 90.00
Positions (direct):
In1 0.0000 0.0000 0.9998
In2 0.0000 0.0000 0.5002
P1 0.5000 0.5000 0.2500
Re1 0.5000 0.5000 0.7500

## Properties
calculated formation energy	2.5	eV per formula unit

Record 18
VASP calculation (PBE-GGA) on In2ReP after structural relaxation.

a b c (Å): 5.1734 5.1734 2.8665
angles (deg): 90.00 90.00 106.10
Positions (direct):
In1 0.0000 0.0000 0.0000
In2 0.5000 0.5000 0.0000
P1 0.5000 0.0000 0.5000
Re1 0.0000 0.5000 0.5000

## Properties
calculated formation energy	2.4	eV per formula unit

Record 19
VASP calculation (PBE-GGA) on InReP2 after structural relaxation.

a b c (Å): 5.0538 5.0538 5.0538
angles (deg): 134.58 134.58 66.19
Positions (direct):
In1 0.7500 0.2500 0.5000
P1 0.0000 0.0000 0.0000
P2 0.2500 0.7500 0.5000
Re1 0.5000 0.5000 0.0000

## Properties
calculated formation energy	3.2	eV per formula unit

Record 20
VASP calculation (PBE-GGA) on InRe2P after structural relaxation.

a b c (Å): 2.9547 2.9547 8.3974
angles (deg): 90.00 90.00 118.25
Positions (direct):
In1 0.5000 0.5000 0.2500
P1 0.5000 0.5000 0.7500
Re1 0.0000 0.0000 0.9614
Re2 0.0000 0.0000 0.5386

## Properties
calculated formation energy	1.8	eV per formula unit
E above lowest polymorph	312	meV per atom